# Dy3Y6ThSc2

A relaxed structure of Dy3Y6ThSc2 (PBE, Alexandria via LeMat-Bulk).

Cell: 6.078 10.523 11.707 Å, 90.00 99.96 90.00°
Space group C2/m (No. 12)
Inequivalent atoms, fractional coordinates:
Dy1 0.000 0.000 0.000
Dy2 0.000 0.332 0.000
Y1 0.249 0.334 0.746
Y2 0.250 0.000 0.746
Th1 0.000 0.500 0.500
Sc1 0.000 0.167 0.500

Output
Density (g/cm³): 6.0

# DyYThSc

A relaxed structure of DyYThSc (PBE, Alexandria via LeMat-Bulk).

Cell: 3.5407 3.5407 33.3305 Å, 90.00 90.00 120.00°
Space group R3m (No. 160, hexagonal axes)
Inequivalent atoms, fractional coordinates:
Dy1 0.0000 0.0000 0.0000
Y1 0.0000 0.0000 0.2458
Th1 0.0000 0.0000 0.4176
Sc1 0.0000 0.0000 0.8307

Output
Density (g/cm³): 7.3

# Dy5Y2ThSc

A relaxed structure of Dy5Y2ThSc (PBE, Alexandria via LeMat-Bulk).

Cell: 5.654 21.733 9.435 Å, 90.00 90.00 90.00°
Space group Cmc2_1 (No. 36)
Inequivalent atoms, fractional coordinates:
Dy1 0.000 0.013 0.000
Dy2 0.000 0.270 0.689
Dy3 0.000 0.303 0.295
Dy4 0.000 0.397 0.968
Dy5 0.000 0.471 0.265
Y1 0.000 0.116 0.692
Y2 0.000 0.132 0.303
Th1 0.000 0.401 0.585
Sc1 0.000 0.190 0.999

Output
Density (g/cm³): 7.3

# DyY2ThSc

A relaxed structure of DyY2ThSc (PBE, Alexandria via LeMat-Bulk).

Cell: 6.163 7.784 6.632 Å, 90.00 90.00 90.00°
Space group Pmma (No. 51)
Inequivalent atoms, fractional coordinates:
Dy1 0.250 0.000 0.186
Y1 0.250 0.208 0.722
Th1 0.250 0.500 0.406
Sc1 0.000 0.500 0.000

Output
Density (g/cm³): 6.4

# Dy3YThSc

A relaxed structure of Dy3YThSc (PBE, Alexandria via LeMat-Bulk).

Cell: 7.823 4.995 9.914 Å, 90.00 108.43 90.00°
Space group P2_1/m (No. 11)
Inequivalent atoms, fractional coordinates:
Dy1 0.176 0.250 0.042
Dy2 0.176 0.250 0.547
Dy3 0.177 0.750 0.290
Y1 0.173 0.750 0.797
Th1 0.499 0.250 0.376
Sc1 0.499 0.250 0.873

Output
Density (g/cm³): 7.7

# Dy2Y5ThSc

A relaxed structure of Dy2Y5ThSc (PBE, Alexandria via LeMat-Bulk).

Cell: 5.661 21.741 9.498 Å, 90.00 90.00 90.00°
Space group Cmc2_1 (No. 36)
Inequivalent atoms, fractional coordinates:
Dy1 0.000 0.115 0.000
Dy2 0.000 0.132 0.609
Y1 0.000 0.013 0.309
Y2 0.000 0.268 0.992
Y3 0.000 0.303 0.604
Y4 0.000 0.392 0.277
Y5 0.000 0.471 0.574
Th1 0.000 0.401 0.895
Sc1 0.000 0.188 0.306

Output
Density (g/cm³): 5.9

Number 1: total energy -144.29 eV/cell. Number 2: total energy -74.16 eV/cell. Number 3: total energy -192.62 eV/cell. Number 4: total energy -59.59 eV/cell. Number 5: total energy -67.57 eV/cell. Number 6: total energy -214.97 eV/cell.